Below is a geometry-optimized TbScCu2Si2 structure, with properties calculated at the GGA-PBE level.

The value obtained for the volume is 103.8 Å³/cell. The calculation puts the formation energy (no corrections) at -0.66 eV per atom. For the total energy, the calculation gives -33.95 eV per cell.

It has space group P-3m1 (No. 164), with a = 4.1278 Å, b = 4.1278 Å, c = 7.0366 Å, α = 90.00°, β = 90.00° and γ = 120.00°. Symmetry generates all atoms from Tb at (0.0000, 0.0000, 0.0000), Sc at (0.0000, 0.0000, 0.5000), Cu at (0.3333, 0.6667, 0.7119) and Si at (0.3333, 0.6667, 0.2692).